1.
The following is a DFT calculation (GGA-PBE) of a relaxed BaSi2 crystal.

Results
Calculated density, Mg/m³: 4.2
Space group: P-3m1
Total magnetization, Bohr magnetons per cell: 0.00
Energy relative to the elements, uncorrected, eV/atom: -0.346

abc: 4.0753 4.0753 5.3818
angles: 90.00 90.00 120.00
Closest atoms and distances in Å follow each position.
Positions (direct):
Ba1 0.0000 0.0000 0.0000  6 Si 3.32
Si1 0.3333 0.6667 0.5655  3 Si 2.46
Si2 0.6667 0.3333 0.4345  3 Si 2.46

***

2.
The following is a DFT calculation (GGA-PBE) of a relaxed Ba5Si crystal.

Results
Calculated density, Mg/m³: 4.0
Space group: Amm2
Total magnetization, Bohr magnetons per cell: 0.00
Energy relative to the elements, uncorrected, eV/atom: 0.042

abc: 6.1550 4.9493 19.5870
angles: 90.00 90.00 90.00
Closest atoms and distances in Å follow each position.
Positions (direct):
Ba1 0.0000 0.0000 0.0000  2 Si 3.45
Ba2 0.0000 0.0000 0.2461  2 Si 3.46
Ba3 0.0000 0.5000 0.5000  2 Si 3.45
Ba4 0.0000 0.5000 0.7461  2 Si 3.46
Ba5 0.5000 0.0000 0.1243  8 Ba 3.89-4.15, 4 Si 3.95
Ba6 0.5000 0.0000 0.4568  8 Ba 4.03-4.11, 2 Si 4.48
Ba7 0.5000 0.0000 0.7941  8 Ba 4.03-4.15
Ba8 0.5000 0.5000 0.2941  8 Ba 4.03-4.15
Ba9 0.5000 0.5000 0.6243  8 Ba 3.89-4.15, 4 Si 3.95
Ba10 0.5000 0.5000 0.9568  8 Ba 4.03-4.11, 2 Si 4.48
Si1 0.0000 0.0000 0.6227  4 Ba 3.45-3.46
Si2 0.0000 0.5000 0.1227  4 Ba 3.45-3.46

***

3.
The following is a DFT calculation (GGA-PBE) of a relaxed Ba3Si4 crystal.

Results
Calculated density, Mg/m³: 4.0
Space group: P4_2/mnm
Total magnetization, Bohr magnetons per cell: 0.00
Energy relative to the elements, uncorrected, eV/atom: -0.408

abc: 8.5814 8.5814 11.9530
angles: 90.00 90.00 90.00
Closest atoms and distances in Å follow each position.
Positions (direct):
Ba1 0.0000 0.0000 0.1693  8 Si 3.29-3.66
Ba2 0.0000 0.0000 0.8308  8 Si 3.29-3.66
Ba3 0.0000 0.5000 0.2500  8 Si 3.35-3.55
Ba4 0.0000 0.5000 0.7500  8 Si 3.35-3.55
Ba5 0.1640 0.1640 0.5000  8 Si 3.57-3.76, 1 Ba 3.98
Ba6 0.3360 0.6640 0.0000  8 Si 3.57-3.76, 1 Ba 3.98
Ba7 0.5000 0.0000 0.2500  8 Si 3.35-3.55
Ba8 0.5000 0.0000 0.7500  8 Si 3.35-3.55
Ba9 0.5000 0.5000 0.3308  8 Si 3.29-3.66
Ba10 0.5000 0.5000 0.6692  8 Si 3.29-3.66
Ba11 0.6640 0.3360 0.0000  8 Si 3.57-3.76, 1 Ba 3.98
Ba12 0.8360 0.8360 0.5000  8 Si 3.57-3.76, 1 Ba 3.98
Si1 0.1003 0.3002 0.0000  3 Si 2.43
Si2 0.1993 0.8007 0.3560  2 Si 2.43
Si3 0.1993 0.8007 0.6440  2 Si 2.43
Si4 0.1998 0.6003 0.5000  3 Si 2.43
Si5 0.3002 0.1003 0.0000  3 Si 2.43
Si6 0.3007 0.3007 0.1440  2 Si 2.43
Si7 0.3007 0.3007 0.8560  2 Si 2.43
Si8 0.3997 0.8002 0.5000  3 Si 2.43
Si9 0.6003 0.1998 0.5000  3 Si 2.43
Si10 0.6993 0.6993 0.1440  2 Si 2.43
Si11 0.6993 0.6993 0.8560  2 Si 2.43
Si12 0.6998 0.8997 0.0000  3 Si 2.43
Si13 0.8002 0.3997 0.5000  3 Si 2.43
Si14 0.8007 0.1993 0.3560  2 Si 2.43
Si15 0.8007 0.1993 0.6440  2 Si 2.43
Si16 0.8997 0.6998 0.0000  3 Si 2.43

***

4.
The following is a DFT calculation (GGA-PBE) of a relaxed Ba3Si crystal.

Results
Calculated density, Mg/m³: 3.4
Space group: P-6m2
Total magnetization, Bohr magnetons per cell: 0.23
Energy relative to the elements, uncorrected, eV/atom: 0.006

abc: 4.6640 4.6640 11.4013
angles: 90.00 90.00 120.00
Closest atoms and distances in Å follow each position.
Positions (direct):
Ba1 0.0000 0.0000 0.0000  12 Ba 4.66-4.68
Ba2 0.3333 0.6667 0.3358  3 Si 3.28
Ba3 0.3333 0.6667 0.6642  3 Si 3.28
Si1 0.0000 0.0000 0.5000  6 Ba 3.28

***

5.
The following is a DFT calculation (GGA-PBE) of a relaxed BaSi2 crystal.

Results
Calculated density, Mg/m³: 3.6
Space group: Pnma
Total magnetization, Bohr magnetons per cell: 0.00
Energy relative to the elements, uncorrected, eV/atom: -0.361

abc: 9.0386 6.7592 11.5872
angles: 90.00 90.00 90.00
Closest atoms and distances in Å follow each position.
Positions (direct):
Ba1 0.0141 0.2500 0.1917  9 Si 3.39-3.63
Ba2 0.1575 0.7500 0.4059  10 Si 3.45-3.71
Ba3 0.3425 0.2500 0.9059  10 Si 3.45-3.71
Ba4 0.4859 0.7500 0.6917  9 Si 3.39-3.63
Ba5 0.5141 0.2500 0.3083  9 Si 3.39-3.63
Ba6 0.6575 0.7500 0.0941  10 Si 3.45-3.71
Ba7 0.8425 0.2500 0.5941  10 Si 3.45-3.71
Ba8 0.9859 0.7500 0.8083  9 Si 3.39-3.63
Si1 0.0850 0.7500 0.0907  3 Si 2.42-2.44
Si2 0.1938 0.0719 0.6459  3 Si 2.41-2.42
Si3 0.1938 0.4281 0.6459  3 Si 2.41-2.42
Si4 0.1975 0.2500 0.4660  3 Si 2.41-2.44
Si5 0.3025 0.7500 0.9660  3 Si 2.41-2.44
Si6 0.3062 0.5719 0.1459  3 Si 2.41-2.42
Si7 0.3062 0.9281 0.1459  3 Si 2.41-2.42
Si8 0.4150 0.2500 0.5907  3 Si 2.42-2.44
Si9 0.5850 0.7500 0.4093  3 Si 2.42-2.44
Si10 0.6938 0.0719 0.8541  3 Si 2.41-2.42
Si11 0.6938 0.4281 0.8541  3 Si 2.41-2.42
Si12 0.6975 0.2500 0.0340  3 Si 2.41-2.44
Si13 0.8025 0.7500 0.5340  3 Si 2.41-2.44
Si14 0.8062 0.5719 0.3541  3 Si 2.41-2.42
Si15 0.8062 0.9281 0.3541  3 Si 2.41-2.42
Si16 0.9150 0.2500 0.9093  3 Si 2.42-2.44

***

6.
The following is a DFT calculation (GGA-PBE) of a relaxed Ba3Si crystal.

Results
Calculated density, Mg/m³: 4.7
Space group: I4/mmm
Total magnetization, Bohr magnetons per cell: 1.60
Energy relative to the elements, uncorrected, eV/atom: 0.032

abc: 5.3690 5.3690 21.7529
angles: 90.00 90.00 90.00
Closest atoms and distances in Å follow each position.
Positions (direct):
Ba1 0.0000 0.0000 0.1240  4 Si 3.80, 8 Ba 3.81-3.84
Ba2 0.0000 0.0000 0.8760  4 Si 3.80, 8 Ba 3.81-3.84
Ba3 0.0000 0.5000 0.0000  8 Ba 3.80-3.81, 4 Si 3.89
Ba4 0.0000 0.5000 0.2500  4 Si 3.76, 8 Ba 3.80-3.84
Ba5 0.0000 0.5000 0.5000  8 Ba 3.80-3.81, 4 Si 3.89
Ba6 0.0000 0.5000 0.7500  4 Si 3.76, 8 Ba 3.80-3.84
Ba7 0.5000 0.0000 0.0000  8 Ba 3.80-3.81, 4 Si 3.89
Ba8 0.5000 0.0000 0.2500  4 Si 3.76, 8 Ba 3.80-3.84
Ba9 0.5000 0.0000 0.5000  8 Ba 3.80-3.81, 4 Si 3.89
Ba10 0.5000 0.0000 0.7500  4 Si 3.76, 8 Ba 3.80-3.84
Ba11 0.5000 0.5000 0.3760  4 Si 3.80, 8 Ba 3.81-3.84
Ba12 0.5000 0.5000 0.6240  4 Si 3.80, 8 Ba 3.81-3.84
Si1 0.0000 0.0000 0.3709  12 Ba 3.76-3.89
Si2 0.0000 0.0000 0.6291  12 Ba 3.76-3.89
Si3 0.5000 0.5000 0.1291  12 Ba 3.76-3.89
Si4 0.5000 0.5000 0.8709  12 Ba 3.76-3.89

***

> total magnetization of number 1 (BaSi2)?

0.00 Bohr magnetons per cell

***

> Which of these has the lowest energy relative to the elements, uncorrected?

Ba3Si4

***

> What is the total magnetization in the sixth record?

1.60 Bohr magnetons per cell

***

> Which formula does entry 2 have?

Ba5Si